Entry 1:
VS | PBE | relaxed

## Properties
Formation energy without anion corrections ... -0.631 eV/atom
Electronic total energy ... -14.508 eV per formula unit
SG ... I-43m, No. 217

a = 7.2299 Å, b = 7.2299 Å, c = 7.2299 Å
α = 90.00°, β = 90.00°, γ = 90.00°
Last column: nearest neighbours and their distance in Å.
Element x y z (fractional)
V (0.3789, 0.6211, 0.6211)  4 S 2.33-2.40, 3 V 2.48
V (0.1211, 0.8789, 0.1211)  4 S 2.33-2.40, 3 V 2.48
V (0.8789, 0.1211, 0.1211)  4 S 2.33-2.40, 3 V 2.48
V (0.1211, 0.1211, 0.8789)  4 S 2.33-2.40, 3 V 2.48
S (0.6875, 0.6875, 0.6875)  4 V 2.33-2.40
V (0.6211, 0.6211, 0.3789)  4 S 2.33-2.40, 3 V 2.48
S (0.3125, 0.3125, 0.6875)  4 V 2.33-2.40
V (0.3789, 0.3789, 0.3789)  4 S 2.33-2.40, 3 V 2.48
V (0.6211, 0.3789, 0.6211)  4 S 2.33-2.40, 3 V 2.48
S (0.8125, 0.8125, 0.1875)  4 V 2.33-2.40
S (0.1875, 0.1875, 0.1875)  4 V 2.33-2.40
S (0.8125, 0.1875, 0.8125)  4 V 2.33-2.40
V (0.8789, 0.8789, 0.8789)  4 S 2.33-2.40, 3 V 2.48
S (0.3125, 0.6875, 0.3125)  4 V 2.33-2.40
S (0.6875, 0.3125, 0.3125)  4 V 2.33-2.40
S (0.1875, 0.8125, 0.8125)  4 V 2.33-2.40


Entry 2:
VS2 | PBE | relaxed

## Properties
Formation energy without anion corrections ... -0.811 eV/atom
Density of states at the Fermi level ... 2.19 states/eV/f.u.
Electronic total energy ... -19.805 eV per formula unit
SG ... P6_3/mmc, No. 194

a = 3.2057 Å, b = 3.2057 Å, c = 11.8180 Å
α = 90.00°, β = 90.00°, γ = 120.00°
Last column: nearest neighbours and their distance in Å.
Element x y z (fractional)
S (0.3333, 0.6667, 0.8785)  3 V 2.34
S (0.6667, 0.3333, 0.1215)  3 V 2.34
V (0.0000, 0.0000, 0.0000)  6 S 2.34
V (0.0000, 0.0000, 0.5000)  6 S 2.34
S (0.6667, 0.3333, 0.3785)  3 V 2.34
S (0.3333, 0.6667, 0.6215)  3 V 2.34


Entry 3:
VS | PBE | relaxed

## Properties
Formation energy without anion corrections ... -0.413 eV/atom
Density of states at the Fermi level ... 1.87 states/eV/f.u.
Electronic total energy ... -14.073 eV per formula unit
SG ... Pm-3n, No. 223

a = 6.6909 Å, b = 6.6909 Å, c = 6.6909 Å
α = 90.00°, β = 90.00°, γ = 90.00°
Last column: nearest neighbours and their distance in Å.
Element x y z (fractional)
S (0.5000, 0.0000, 0.2500)  4 V 2.37
V (0.5000, 0.2500, 0.0000)  4 S 2.37
S (0.7500, 0.5000, 0.0000)  4 V 2.37
S (0.0000, 0.7500, 0.5000)  4 V 2.37
S (0.5000, 0.0000, 0.7500)  4 V 2.37
V (0.7500, 0.0000, 0.5000)  4 S 2.37
V (0.0000, 0.5000, 0.2500)  4 S 2.37
V (0.0000, 0.5000, 0.7500)  4 S 2.37
V (0.5000, 0.7500, 0.0000)  4 S 2.37
S (0.2500, 0.5000, 0.0000)  4 V 2.37
S (0.0000, 0.2500, 0.5000)  4 V 2.37
V (0.2500, 0.0000, 0.5000)  4 S 2.37


Which value of electronic total energy does entry 1 give?
-14.508 eV per formula unit


Please write out number 2 again, unchanged.
VS2 | PBE | relaxed

## Properties
Formation energy without anion corrections ... -0.811 eV/atom
Density of states at the Fermi level ... 2.19 states/eV/f.u.
Electronic total energy ... -19.805 eV per formula unit
SG ... P6_3/mmc, No. 194

a = 3.2057 Å, b = 3.2057 Å, c = 11.8180 Å
α = 90.00°, β = 90.00°, γ = 120.00°
Last column: nearest neighbours and their distance in Å.
Element x y z (fractional)
S (0.3333, 0.6667, 0.8785)  3 V 2.34
S (0.6667, 0.3333, 0.1215)  3 V 2.34
V (0.0000, 0.0000, 0.0000)  6 S 2.34
V (0.0000, 0.0000, 0.5000)  6 S 2.34
S (0.6667, 0.3333, 0.3785)  3 V 2.34
S (0.3333, 0.6667, 0.6215)  3 V 2.34


What is the electronic total energy in the third record?
-14.073 eV per formula unit


Which formula does entry 2 have?
VS2